Entry 1:
Density functional theory data (PBE-GGA) for crystalline RbScS2 at its relaxed geometry.

- Formation energy without anion corrections: -1.57 eV per atom
- Electronic total energy: -43.70 eV/cell
- Total moment: 0.00 μB/f.u.

Cell lengths 8.196, 8.196, 6.732 Å; angles 52.50, 52.50, 90.00 degrees
Positions (direct):
S: 0.346 0.154 0.000
S: 0.154 0.654 0.000
S: 0.654 0.846 0.000
Sc: 0.250 0.750 0.500
S: 0.846 0.346 0.000
Sc: 0.750 0.250 0.500
Rb: 0.250 0.250 0.500
Rb: 0.750 0.750 0.500



Entry 2:
Density functional theory data (PBE-GGA) for crystalline RbSc2S3 at its relaxed geometry.

- Formation energy without anion corrections: -1.63 eV per atom
- Electronic total energy: -71.53 eV/cell
- Energy above the lowest structure with this stoichiometry: 0 meV per atom
- Total moment: 0.00 μB/f.u.

Cell lengths 3.709, 8.008, 9.983 Å; angles 101.30, 90.00, 90.00 degrees
Positions (direct):
S: 0.750 0.722 0.650
Rb: 0.750 0.474 0.175
Sc: 0.750 0.017 0.833
Rb: 0.250 0.526 0.825
S: 0.250 0.278 0.350
S: 0.750 0.821 0.013
Sc: 0.250 0.983 0.167
Sc: 0.750 0.169 0.481
Sc: 0.250 0.831 0.519
S: 0.750 0.874 0.339
S: 0.250 0.126 0.661
S: 0.250 0.179 0.987



Entry 3:
Density functional theory data (PBE-GGA) for crystalline RbScS2 at its relaxed geometry.

- Formation energy without anion corrections: -1.33 eV per atom
- Electronic total energy: -41.75 eV/cell
- Total moment: 0.00 μB/f.u.

Cell lengths 11.549, 11.549, 5.005 Å; angles 90.00, 90.00, 156.32 degrees
Positions (direct):
Rb: 0.681 0.319 0.750
Sc: 0.065 0.935 0.250
S: 0.950 0.050 0.250
S: 0.168 0.832 0.250
S: 0.832 0.168 0.750
S: 0.050 0.950 0.750
Rb: 0.319 0.681 0.250
Sc: 0.935 0.065 0.750



Entry 4:
Density functional theory data (PBE-GGA) for crystalline RbScS2 at its relaxed geometry.

- Formation energy without anion corrections: -1.68 eV per atom
- Electronic total energy: -22.29 eV/cell
- Total moment: 0.00 μB/f.u.

Cell lengths 3.851, 3.851, 8.660 Å; angles 102.84, 102.85, 120.00 degrees
Positions (direct):
S: 0.751 0.576 0.137
Sc: 0.600 0.091 0.319
S: 0.448 0.606 0.501
Rb: 0.100 0.591 0.819



Entry 5:
Density functional theory data (PBE-GGA) for crystalline RbScS2 at its relaxed geometry.

- Formation energy without anion corrections: -1.70 eV per atom
- Electronic total energy: -22.34 eV/cell
- Total moment: 0.00 μB/f.u.

Cell lengths 3.857, 3.858, 7.997 Å; angles 89.98, 76.04, 119.99 degrees
Positions (direct):
Rb: 0.921 0.873 0.815
S: 0.796 0.311 0.503
S: 0.373 0.099 0.138
Sc: 0.584 0.705 0.321



Entry 6:
Density functional theory data (PBE-GGA) for crystalline RbScS2 at its relaxed geometry.

- Formation energy without anion corrections: -1.66 eV per atom
- Electronic total energy: -44.38 eV/cell
- Total moment: 0.00 μB/f.u.

Cell lengths 7.115, 4.292, 7.552 Å; angles 90.01, 100.20, 107.57 degrees
Positions (direct):
S: 0.483 0.016 0.116
Sc: 0.211 0.880 0.852
Rb: 0.732 0.640 0.433
S: 0.035 0.292 0.719
Rb: 0.220 0.385 0.334
Sc: 0.741 0.145 0.916
S: 0.470 0.010 0.652
S: 0.918 0.734 0.048



Entry 7:
Density functional theory data (PBE-GGA) for crystalline RbScS2 at its relaxed geometry.

- Formation energy without anion corrections: -1.61 eV per atom
- Electronic total energy: -88.02 eV/cell
- Total moment: 0.00 μB/f.u.

Cell lengths 6.992, 10.686, 6.896 Å; angles 90.00, 90.00, 90.00 degrees
Positions (direct):
S: 0.117 0.324 0.561
S: 0.883 0.676 0.061
Rb: 0.006 0.376 0.037
Sc: 0.951 0.125 0.498
Rb: 0.494 0.876 0.537
Rb: 0.506 0.124 0.037
S: 0.383 0.824 0.061
Rb: 0.994 0.624 0.537
Sc: 0.049 0.875 0.998
S: 0.976 0.076 0.153
S: 0.524 0.576 0.653
S: 0.476 0.424 0.153
S: 0.617 0.176 0.561
Sc: 0.549 0.625 0.998
S: 0.024 0.924 0.653
Sc: 0.451 0.375 0.498



Entry 8:
Density functional theory data (PBE-GGA) for crystalline RbScS2 at its relaxed geometry.

- Formation energy without anion corrections: -1.61 eV per atom
- Electronic total energy: -44.01 eV/cell
- Total moment: 0.00 μB/f.u.

Cell lengths 15.722, 6.903, 6.903 Å; angles 91.03, 132.11, 47.89 degrees
Positions (direct):
S: 0.353 0.967 0.685
Sc: 0.754 0.304 0.446
S: 0.853 0.815 0.533
S: 0.656 0.512 0.639
Rb: 0.254 0.594 0.656
S: 0.156 0.861 0.988
Sc: 0.254 0.054 0.196
Rb: 0.754 0.844 0.906



Entry 9:
Density functional theory data (PBE-GGA) for crystalline RbScS2 at its relaxed geometry.

- Formation energy without anion corrections: -1.61 eV per atom
- Electronic total energy: -22.00 eV/cell
- Total moment: 0.00 μB/f.u.

Cell lengths 3.889, 3.889, 8.137 Å; angles 90.00, 90.00, 120.00 degrees
Positions (direct):
Sc: 0.000 0.000 0.995
Rb: 0.333 0.667 0.449
S: 0.333 0.667 0.836
S: 0.667 0.333 0.175



Entry 10:
Density functional theory data (PBE-GGA) for crystalline Rb3ScS at its relaxed geometry.

- Formation energy without anion corrections: 0.79 eV per atom
- Electronic total energy: -9.43 eV/cell
- Total moment: 2.00 μB/f.u.

Cell lengths 6.696, 6.696, 6.696 Å; angles 90.00, 90.00, 90.00 degrees
Positions (direct):
S: 0.500 0.500 0.500
Rb: 0.000 0.500 0.000
Rb: 0.500 0.000 0.000
Rb: 0.000 0.000 0.500
Sc: 0.000 0.000 0.000



Entry 11:
Density functional theory data (PBE-GGA) for crystalline RbScS2 at its relaxed geometry.

- Formation energy without anion corrections: -1.65 eV per atom
- Electronic total energy: -88.62 eV/cell
- Total moment: 0.00 μB/f.u.

Cell lengths 7.415, 4.651, 12.531 Å; angles 90.00, 90.00, 90.00 degrees
Positions (direct):
S: 0.151 0.750 0.547
S: 0.651 0.750 0.953
Rb: 0.098 0.750 0.872
S: 0.849 0.250 0.453
Rb: 0.598 0.750 0.628
S: 0.349 0.250 0.047
Sc: 0.064 0.250 0.618
S: 0.340 0.250 0.741
Sc: 0.564 0.250 0.882
Sc: 0.936 0.750 0.382
Sc: 0.436 0.750 0.118
Rb: 0.402 0.250 0.372
Rb: 0.902 0.250 0.128
S: 0.840 0.250 0.759
S: 0.660 0.750 0.259
S: 0.160 0.750 0.241



Entry 12:
Density functional theory data (PBE-GGA) for crystalline Rb3ScS3 at its relaxed geometry.

- Formation energy without anion corrections: -1.45 eV per atom
- Electronic total energy: -63.55 eV/cell
- Energy above the lowest structure with this stoichiometry: 0 meV per atom
- Total moment: 0.00 μB/f.u.

Cell lengths 8.256, 8.256, 8.052 Å; angles 96.31, 96.31, 114.05 degrees
Positions (direct):
Rb: 0.747 0.253 0.000
S: 0.558 0.842 0.729
Rb: 0.253 0.747 0.000
S: 0.842 0.558 0.729
Rb: 0.382 0.382 0.642
S: 0.901 0.901 0.174
Sc: 0.171 0.171 0.144
S: 0.099 0.099 0.826
S: 0.442 0.158 0.271
Sc: 0.829 0.829 0.856
S: 0.158 0.442 0.271
Rb: 0.618 0.618 0.358
Rb: 0.182 0.818 0.500
Rb: 0.818 0.182 0.500